Density functional theory data (PBEsol) for MgAl2Ag after structural relaxation.

energy of formation from the pure elements: -44.5 meV/atom
magnetization: 0.00 μB per formula unit

Cell and atoms, written as POSCAR:
```
MgAl2Ag
1.0
2.904 0.057 0.000
-0.057 2.904 0.000
0.000 0.000 8.208
Al Mg Ag
2 1 1
direct
0.000 0.000 0.008
0.500 0.500 0.763
0.000 0.000 0.490
0.500 0.500 0.240
```

***

Density functional theory data (PBEsol) for Mg2Al2Ag after structural relaxation.

energy of formation from the pure elements: -7.8 meV/atom
magnetization: 0.00 μB per formula unit
E above lowest polymorph: 0.0000 eV/atom

Cell and atoms, written as POSCAR:
```
Mg2Al2Ag
1.0
-3.298 -2.074 -1.913
3.816 -1.103 -5.382
2.086 -5.771 2.661
Al Mg Ag
4 4 2
direct
0.000 0.862 0.638
0.000 0.362 0.862
0.000 0.638 0.138
0.000 0.138 0.362
0.500 0.666 0.834
0.500 0.334 0.166
0.500 0.166 0.666
0.500 0.834 0.334
0.000 0.500 0.500
0.000 0.000 0.000
```

***

Density functional theory data (PBEsol) for MgAl2Ag after structural relaxation.

energy of formation from the pure elements: -38.5 meV/atom
magnetization: 0.00 μB per formula unit

Cell and atoms, written as POSCAR:
```
MgAl2Ag
1.0
3.068 0.000 0.000
0.000 4.359 0.000
-1.534 0.000 5.259
Al Ag Mg
2 1 1
direct
0.802 0.000 0.604
0.207 0.500 0.414
0.946 0.500 0.893
0.542 0.000 0.084
```

***

Density functional theory data (PBEsol) for MgAl2Ag after structural relaxation.

energy of formation from the pure elements: -51.6 meV/atom
magnetization: 0.00 μB per formula unit

Cell and atoms, written as POSCAR:
```
MgAl2Ag
1.0
3.031 0.000 0.000
0.000 3.939 0.000
0.000 0.000 5.786
Ag Al Mg
1 2 1
direct
0.500 0.500 0.756
0.000 0.000 0.005
0.500 0.500 0.235
0.000 0.000 0.504
```

***

Density functional theory data (PBEsol) for Mg2Al2Ag after structural relaxation.

energy of formation from the pure elements: 217.9 meV/atom
magnetization: 0.00 μB per formula unit
E above lowest polymorph: 0.2257 eV/atom

Cell and atoms, written as POSCAR:
```
Mg2Al2Ag
1.0
-0.102 1.265 2.578
-5.544 -5.682 2.569
6.228 -4.883 2.642
Al Ag Mg
4 2 4
direct
0.500 0.114 0.614
0.500 0.386 0.114
0.500 0.886 0.386
0.500 0.614 0.886
0.000 0.000 0.000
0.000 0.500 0.500
0.000 0.684 0.184
0.000 0.184 0.316
0.000 0.316 0.816
0.000 0.816 0.684
```

***

Density functional theory data (PBEsol) for MgAl2Ag after structural relaxation.

energy of formation from the pure elements: -37.1 meV/atom
magnetization: 0.00 μB per formula unit

Cell and atoms, written as POSCAR:
```
MgAl2Ag
1.0
2.909 0.000 0.000
0.000 4.997 -0.066
-1.455 -1.055 4.799
Mg Ag Al
1 1 2
direct
0.500 0.000 0.000
0.000 0.500 0.000
0.262 0.258 0.524
0.738 0.742 0.476
```

***

Density functional theory data (PBEsol) for Sr2MgAlAg after structural relaxation.

energy of formation from the pure elements: 285.9 meV/atom
magnetization: 0.00 μB per formula unit

Cell and atoms, written as POSCAR:
```
Sr2MgAlAg
1.0
-3.350 -0.626 3.719
2.585 -5.381 1.422
3.791 2.851 3.894
Al Sr Ag Mg
1 2 1 1
direct
0.000 0.000 0.000
0.000 0.000 0.500
0.000 0.500 0.000
0.500 0.500 0.500
0.500 0.000 0.000
```

***

Density functional theory data (PBEsol) for Mn2AlAg after structural relaxation.

energy of formation from the pure elements: 165.6 meV/atom
magnetization: 5.88 μB per formula unit

Cell and atoms, written as POSCAR:
```
Mn2AlAg
1.0
-2.837 2.299 1.060
-2.370 -2.972 0.101
0.901 -0.592 3.696
Mn Ag Al
2 1 1
direct
0.500 0.000 0.000
0.000 0.500 0.000
0.500 0.500 0.500
0.000 0.000 0.500
```